Entry 1:
Entry from Alexandria via LeMat-Bulk: Pu2Np3PaAs6 after structural relaxation (GGA-PBE).

Geometry as POSCAR:
```
Pu2Np3PaAs6
1.0
-0.333 2.818 6.515
-5.130 -4.373 -2.250
5.248 -4.764 1.036
Pu Np Pa As
2 3 1 6
Direct
0.334 0.666 0.000 Pu
0.666 0.334 0.000 Pu
0.168 0.832 0.500 Np
0.832 0.168 0.500 Np
0.500 0.500 0.500 Np
0.000 0.000 0.000 Pa
0.917 0.586 0.749 As
0.753 0.753 0.251 As
0.083 0.414 0.251 As
0.586 0.917 0.749 As
0.247 0.247 0.749 As
0.414 0.083 0.251 As
```

Calculated values
ΔH_f (0 K) (eV per formula unit): -10.08
SG: C2/m, No. 12
DOS(E_F) (states/eV/f.u.): 54.2

***

Entry 2:
Entry from Alexandria via LeMat-Bulk: Dy7Al2Cd2 after structural relaxation (GGA-PBE).

Geometry as POSCAR:
```
Dy7Al2Cd2
1.0
6.612 -0.003 -1.118
0.004 7.853 0.003
-1.527 -0.002 6.530
Dy Al Cd
7 2 2
Direct
0.000 0.284 0.500 Dy
0.500 0.716 0.000 Dy
0.000 0.716 0.500 Dy
0.500 0.284 0.000 Dy
0.000 0.000 0.000 Dy
0.500 0.759 0.500 Dy
0.500 0.241 0.500 Dy
0.712 0.000 0.288 Al
0.288 0.000 0.712 Al
0.816 0.500 0.816 Cd
0.184 0.500 0.184 Cd
```

Calculated values
ΔH_f (0 K) (eV per formula unit): 0.03
SG: Cmmm, No. 65
DOS(E_F) (states/eV/f.u.): 10.7

***

Entry 3:
Entry from Alexandria via LeMat-Bulk: Ba2Li4Mg3 after structural relaxation (GGA-PBE).

Geometry as POSCAR:
```
Ba2Li4Mg3
1.0
5.815 0.000 2.171
2.908 5.721 1.085
0.177 0.000 8.401
Ba Li Mg
2 4 3
Direct
0.638 0.000 0.724 Ba
0.362 0.000 0.276 Ba
0.017 0.635 0.330 Li
0.652 0.365 0.330 Li
0.983 0.365 0.670 Li
0.348 0.635 0.670 Li
0.000 0.500 0.000 Mg
0.000 0.000 0.000 Mg
0.500 0.500 0.000 Mg
```

Calculated values
ΔH_f (0 K) (eV per formula unit): -0.11
SG: Fmmm, No. 69
DOS(E_F) (states/eV/f.u.): 7.9

***

Entry 4:
Entry from Alexandria via LeMat-Bulk: LiBe2Re2 after structural relaxation (GGA-PBE).

Geometry as POSCAR:
```
LiBe2Re2
1.0
-5.139 -4.593 -2.284
0.023 -3.253 6.491
-1.793 1.604 0.810
Re Li Be
4 2 4
Direct
0.378 0.878 0.000 Re
0.878 0.622 0.000 Re
0.622 0.122 0.000 Re
0.122 0.378 0.000 Re
0.000 0.000 0.000 Li
0.500 0.500 0.000 Li
0.173 0.673 0.500 Be
0.673 0.827 0.500 Be
0.827 0.327 0.500 Be
0.327 0.173 0.500 Be
```

Calculated values
Excess energy over the best structure of this formula in the dataset (kJ/mol of formula units): 72
ΔH_f (0 K) (eV per formula unit): 1.34
SG: P4/mbm, No. 127
DOS(E_F) (states/eV/f.u.): 2.5

***

Entry 5:
Entry from Alexandria via LeMat-Bulk: MnInBr2Cl after structural relaxation (GGA-PBE).

Geometry as POSCAR:
```
MnInBr2Cl
1.0
-1.707 3.579 3.665
-4.467 0.851 -2.912
-2.292 -3.612 2.460
Cl Mn Br In
1 1 2 1
Direct
0.000 0.000 0.500 Cl
0.000 0.000 0.000 Mn
0.000 0.500 0.000 Br
0.500 0.000 0.000 Br
0.500 0.500 0.500 In
```

Calculated values
Excess energy over the best structure of this formula in the dataset (kJ/mol of formula units): 18
SG: P4/mmm, No. 123
E_form (uncorrected) (kJ/mol of formula units): -367

***

Entry 6:
Entry from Alexandria via LeMat-Bulk: HgP after structural relaxation (GGA-PBE).

Geometry as POSCAR:
```
HgP
1.0
-1.549 0.213 -2.533
2.107 -2.083 0.286
-3.544 -3.327 1.888
Hg P
1 1
Direct
0.000 0.000 0.000 Hg
0.667 0.333 0.500 P
```

Calculated values
Excess energy over the best structure of this formula in the dataset (kJ/mol of formula units): 139
ΔH_f (0 K) (eV per formula unit): 1.50
SG: P-6m2, No. 187
DOS(E_F) (states/eV/f.u.): 1.0

***

Entry 7:
Entry from Alexandria via LeMat-Bulk: CuAgCl2 after structural relaxation (GGA-PBE).

Geometry as POSCAR:
```
CuAgCl2
1.0
5.287 0.015 0.043
0.441 5.269 0.043
1.568 1.447 3.271
Cu Ag Cl
1 1 2
Direct
0.500 0.000 0.500 Cu
0.000 0.500 0.500 Ag
0.000 0.000 0.000 Cl
0.500 0.500 0.000 Cl
```

Calculated values
SG: C2/m, No. 12
DOS(E_F) (states/eV/f.u.): 0.4
E_form (uncorrected) (kJ/mol of formula units): -79

***

Entry 8:
Entry from Alexandria via LeMat-Bulk: La5Pm3Pr3 after structural relaxation (GGA-PBE).

Geometry as POSCAR:
```
La5Pm3Pr3
1.0
5.748 0.000 0.000
0.000 9.783 0.000
0.000 -4.892 8.473
La Pm Pr
5 3 3
Direct
0.500 0.333 0.667 La
0.500 0.667 0.333 La
0.500 0.270 0.270 La
0.500 0.000 0.730 La
0.500 0.730 0.000 La
0.000 0.533 0.533 Pm
0.000 0.467 0.000 Pm
0.000 0.000 0.467 Pm
0.500 0.633 0.633 Pr
0.500 0.000 0.367 Pr
0.500 0.367 0.000 Pr
```

Calculated values
Excess energy over the best structure of this formula in the dataset (kJ/mol of formula units): 0
ΔH_f (0 K) (eV per formula unit): 7.11
SG: P-62m, No. 189
DOS(E_F) (states/eV/f.u.): 16.4

***

Entry 9:
Entry from Alexandria via LeMat-Bulk: Ti2Be2MoRu5 after structural relaxation (GGA-PBE).

Geometry as POSCAR:
```
Ti2Be2MoRu5
1.0
-0.364 1.081 2.900
0.042 -8.722 3.257
9.247 0.420 1.004
Ti Be Mo Ru
4 4 2 10
Direct
0.000 0.672 0.172 Ti
0.000 0.328 0.828 Ti
0.000 0.172 0.328 Ti
0.000 0.828 0.672 Ti
0.000 0.122 0.622 Be
0.000 0.878 0.378 Be
0.000 0.622 0.878 Be
0.000 0.378 0.122 Be
0.000 0.000 0.000 Mo
0.000 0.500 0.500 Mo
0.500 0.208 0.075 Ru
0.500 0.792 0.925 Ru
0.500 0.075 0.792 Ru
0.500 0.708 0.425 Ru
0.500 0.925 0.208 Ru
0.500 0.292 0.575 Ru
0.500 0.575 0.708 Ru
0.500 0.425 0.292 Ru
0.500 0.500 0.000 Ru
0.500 0.000 0.500 Ru
```

Calculated values
ΔH_f (0 K) (eV per formula unit): -3.49
SG: P4/mbm, No. 127
DOS(E_F) (states/eV/f.u.): 6.5

***

Entry 10:
Entry from Alexandria via LeMat-Bulk: CoRuI2 after structural relaxation (GGA-PBE).

Geometry as POSCAR:
```
CoRuI2
1.0
5.934 0.000 0.000
0.000 5.934 0.000
2.967 2.967 5.757
I Ru Co
4 2 2
Direct
0.612 0.125 0.250 I
0.138 0.625 0.250 I
0.375 0.388 0.750 I
0.875 0.862 0.750 I
0.000 0.000 0.000 Ru
0.750 0.250 0.500 Ru
0.500 0.500 0.000 Co
0.250 0.750 0.500 Co
```

Calculated values
Excess energy over the best structure of this formula in the dataset (kJ/mol of formula units): 0
SG: I-42d, No. 122
DOS(E_F) (states/eV/f.u.): 5.5
E_form (uncorrected) (kJ/mol of formula units): 266

***

Entry 11:
Entry from Alexandria via LeMat-Bulk: BaNi2Ir2 after structural relaxation (GGA-PBE).

Geometry as POSCAR:
```
BaNi2Ir2
1.0
4.382 0.000 0.000
0.000 4.382 0.000
2.191 2.191 4.917
Ni Ir Ba
2 2 1
Direct
0.750 0.250 0.500 Ni
0.250 0.750 0.500 Ni
0.374 0.374 0.252 Ir
0.626 0.626 0.748 Ir
0.000 0.000 0.000 Ba
```

Calculated values
ΔH_f (0 K) (eV per formula unit): 0.96
SG: I4/mmm, No. 139
DOS(E_F) (states/eV/f.u.): 9.1

***

Entry 12:
Entry from Alexandria via LeMat-Bulk: HfSc3C after structural relaxation (GGA-PBE).

Geometry as POSCAR:
```
HfSc3C
1.0
4.624 0.000 0.000
0.000 4.624 0.000
0.000 0.000 4.624
Sc C Hf
3 1 1
Direct
0.000 0.500 0.000 Sc
0.000 0.000 0.500 Sc
0.500 0.000 0.000 Sc
0.000 0.000 0.000 C
0.500 0.500 0.500 Hf
```

Calculated values
Excess energy over the best structure of this formula in the dataset (kJ/mol of formula units): 0
ΔH_f (0 K) (eV per formula unit): -0.10
SG: Pm-3m, No. 221
DOS(E_F) (states/eV/f.u.): 8.1

***

Entry 13:
Entry from Alexandria via LeMat-Bulk: CdHg5S4 after structural relaxation (GGA-PBE).

Geometry as POSCAR:
```
CdHg5S4
1.0
-0.726 -4.126 -7.520
4.613 -6.261 2.990
-6.572 -3.597 2.608
Cd Hg S
2 10 8
Direct
0.891 0.000 0.000 Cd
0.109 0.500 0.500 Cd
0.219 0.742 0.829 Hg
0.219 0.258 0.829 Hg
0.686 0.500 0.000 Hg
0.219 0.742 0.171 Hg
0.219 0.258 0.171 Hg
0.781 0.758 0.329 Hg
0.781 0.242 0.329 Hg
0.314 0.000 0.500 Hg
0.781 0.242 0.671 Hg
0.781 0.758 0.671 Hg
0.025 0.000 0.725 S
0.653 0.786 0.000 S
0.653 0.214 0.000 S
0.025 0.000 0.275 S
0.975 0.500 0.225 S
0.347 0.714 0.500 S
0.347 0.286 0.500 S
0.975 0.500 0.775 S
```

Calculated values
SG: Pmmn, No. 59
DOS(E_F) (states/eV/f.u.): 0.1
E_form (uncorrected) (kJ/mol of formula units): -22

***

Entry 14:
Entry from Alexandria via LeMat-Bulk: Dy6HoSc3 after structural relaxation (GGA-PBE).

Geometry as POSCAR:
```
Dy6HoSc3
1.0
6.165 0.000 0.000
0.000 10.490 -1.722
0.000 -4.019 9.841
Dy Ho Sc
12 2 6
Direct
0.036 0.704 0.630 Dy
0.536 0.630 0.704 Dy
0.359 0.555 0.962 Dy
0.859 0.962 0.555 Dy
0.364 0.954 0.046 Dy
0.670 0.302 0.698 Dy
0.170 0.698 0.302 Dy
0.864 0.046 0.954 Dy
0.359 0.038 0.445 Dy
0.859 0.445 0.038 Dy
0.036 0.370 0.296 Dy
0.536 0.296 0.370 Dy
0.187 0.210 0.790 Ho
0.687 0.790 0.210 Ho
0.429 0.925 0.696 Sc
0.929 0.696 0.925 Sc
0.117 0.386 0.614 Sc
0.617 0.614 0.386 Sc
0.929 0.075 0.304 Sc
0.429 0.304 0.075 Sc
```

Calculated values
Excess energy over the best structure of this formula in the dataset (kJ/mol of formula units): 37
ΔH_f (0 K) (eV per formula unit): 1.68
SG: Cmc2_1, No. 36
DOS(E_F) (states/eV/f.u.): 13.6

***

Entry 15:
Entry from Alexandria via LeMat-Bulk: BaPmEu2 after structural relaxation (GGA-PBE).

Geometry as POSCAR:
```
BaPmEu2
1.0
-4.203 1.434 -4.429
0.886 -1.923 -5.904
-3.658 -4.483 -2.421
Eu Ba Pm
2 1 1
Direct
0.250 0.250 0.250 Eu
0.750 0.750 0.750 Eu
0.500 0.500 0.500 Ba
0.000 0.000 0.000 Pm
```

Calculated values
Excess energy over the best structure of this formula in the dataset (kJ/mol of formula units): 20
ΔH_f (0 K) (eV per formula unit): 0.58
SG: Fm-3m, No. 225
DOS(E_F) (states/eV/f.u.): 17.2

***

Entry 16:
Entry from Alexandria via LeMat-Bulk: AsIrOs2 after structural relaxation (GGA-PBE).

Geometry as POSCAR:
```
AsIrOs2
1.0
-4.229 0.540 1.602
0.909 -2.913 3.381
0.894 2.170 1.629
As Ir Os
1 1 2
Direct
0.500 0.000 0.500 As
0.000 0.500 0.500 Ir
0.000 0.000 0.000 Os
0.500 0.500 0.000 Os
```

Calculated values
ΔH_f (0 K) (eV per formula unit): 2.11
SG: P4/mmm, No. 123
DOS(E_F) (states/eV/f.u.): 4.7

***

Entry 17:
Entry from Alexandria via LeMat-Bulk: Zr2SbCl after structural relaxation (GGA-PBE).

Geometry as POSCAR:
```
Zr2SbCl
1.0
6.111 0.068 0.000
3.332 5.123 0.000
-4.721 -2.596 2.884
Cl Sb Zr
1 1 2
Direct
0.500 0.500 0.000 Cl
0.250 0.750 0.500 Sb
0.000 0.000 0.000 Zr
0.750 0.250 0.500 Zr
```

Calculated values
Excess energy over the best structure of this formula in the dataset (kJ/mol of formula units): 188
SG: I-4m2, No. 119
DOS(E_F) (states/eV/f.u.): 5.1
E_form (uncorrected) (kJ/mol of formula units): -87

***

Entry 18:
Entry from Alexandria via LeMat-Bulk: Ba3Pm2SmSe6 after structural relaxation (GGA-PBE).

Geometry as POSCAR:
```
Ba3Pm2SmSe6
1.0
7.561 0.003 0.000
-3.776 6.551 0.000
-1.263 -2.186 7.421
Ba Pm Sm Se
3 2 1 6
Direct
0.167 0.833 0.500 Ba
0.833 0.167 0.500 Ba
0.500 0.500 0.500 Ba
0.334 0.666 0.000 Pm
0.666 0.334 0.000 Pm
0.000 0.000 0.000 Sm
0.927 0.595 0.781 Se
0.741 0.741 0.220 Se
0.073 0.405 0.219 Se
0.595 0.927 0.781 Se
0.259 0.259 0.780 Se
0.405 0.073 0.219 Se
```

Calculated values
SG: C2/m, No. 12
DOS(E_F) (states/eV/f.u.): 4.8
E_form (uncorrected) (kJ/mol of formula units): -2213

***

Entry 19:
Entry from Alexandria via LeMat-Bulk: Nb6Mo5Rh after structural relaxation (GGA-PBE).

Geometry as POSCAR:
```
Nb6Mo5Rh
1.0
4.401 -0.003 -1.233
-3.297 6.386 -3.319
-0.170 -0.935 7.859
Nb Rh Mo
6 1 5
Direct
0.252 0.084 0.420 Nb
0.748 0.580 0.916 Nb
0.754 0.254 0.254 Nb
0.246 0.746 0.746 Nb
0.252 0.420 0.084 Nb
0.748 0.916 0.580 Nb
0.000 0.000 0.000 Rh
0.500 0.164 0.836 Mo
0.000 0.333 0.667 Mo
0.500 0.500 0.500 Mo
0.000 0.667 0.333 Mo
0.500 0.836 0.164 Mo
```

Calculated values
ΔH_f (0 K) (eV per formula unit): -2.38
SG: Immm, No. 71
DOS(E_F) (states/eV/f.u.): 6.4

***

Entry 20:
Entry from Alexandria via LeMat-Bulk: LiScGe after structural relaxation (GGA-PBE).

Geometry as POSCAR:
```
LiScGe
1.0
3.748 -2.164 0.000
0.000 4.328 0.000
0.000 0.000 3.202
Sc Ge Li
1 1 1
Direct
0.000 0.000 0.000 Sc
0.667 0.333 0.500 Ge
0.333 0.667 0.500 Li
```

Calculated values
ΔH_f (0 K) (eV per formula unit): -1.51
SG: P-6m2, No. 187
DOS(E_F) (states/eV/f.u.): 1.7

***

Entry 21:
Entry from Alexandria via LeMat-Bulk: Li5GaBi4 after structural relaxation (GGA-PBE).

Geometry as POSCAR:
```
Li5GaBi4
1.0
3.389 0.000 0.000
0.000 3.389 0.000
0.000 0.000 19.598
Li Ga Bi
5 1 4
Direct
0.500 0.500 0.079 Li
0.500 0.500 0.286 Li
0.500 0.500 0.500 Li
0.500 0.500 0.714 Li
0.500 0.500 0.921 Li
0.000 0.000 0.000 Ga
0.000 0.000 0.177 Bi
0.000 0.000 0.393 Bi
0.000 0.000 0.607 Bi
0.000 0.000 0.823 Bi
```

Calculated values
ΔH_f (0 K) (eV per formula unit): -3.48
SG: P4/mmm, No. 123
DOS(E_F) (states/eV/f.u.): 3.2

***

Entry 22:
Entry from Alexandria via LeMat-Bulk: PuFe5P3 after structural relaxation (GGA-PBE).

Geometry as POSCAR:
```
PuFe5P3
1.0
-3.384 1.277 -0.789
1.953 -3.246 -4.949
-4.315 -8.884 4.125
Pu Fe P
2 10 6
Direct
0.826 0.652 0.750 Pu
0.174 0.348 0.250 Pu
0.809 0.619 0.438 Fe
0.191 0.381 0.938 Fe
0.000 0.000 0.500 Fe
0.000 0.000 0.000 Fe
0.457 0.913 0.139 Fe
0.543 0.087 0.861 Fe
0.543 0.087 0.639 Fe
0.809 0.619 0.062 Fe
0.191 0.381 0.562 Fe
0.457 0.913 0.361 Fe
0.370 0.740 0.952 P
0.893 0.785 0.250 P
0.370 0.740 0.548 P
0.630 0.260 0.452 P
0.107 0.215 0.750 P
0.630 0.260 0.048 P
```

Calculated values
ΔH_f (0 K) (eV per formula unit): -5.18
SG: Cmcm, No. 63
DOS(E_F) (states/eV/f.u.): 15.1

***

Entry 23:
Entry from Alexandria via LeMat-Bulk: Tl2SbSe after structural relaxation (GGA-PBE).

Geometry as POSCAR:
```
Tl2SbSe
1.0
5.270 0.000 0.000
0.000 3.850 -0.361
0.000 0.545 6.401
Sb Se Tl
1 1 2
Direct
0.000 0.623 0.530 Sb
0.500 0.627 0.701 Se
0.000 0.130 0.943 Tl
0.500 0.120 0.325 Tl
```

Calculated values
Excess energy over the best structure of this formula in the dataset (kJ/mol of formula units): 11
SG: Pm, No. 6
DOS(E_F) (states/eV/f.u.): 0.9
E_form (uncorrected) (kJ/mol of formula units): -27